one:
# TbTm3Te6

An optimized crystal structure of TbTm3Te6 (GGA-PBE, Alexandria).

a b c (Å): 12.3872 4.3192 12.6945
angles (deg): 90.00 109.43 90.00
With the nearest neighbours (Å) after each atom.
Positions (direct):
Tb (0.0454, 0.2500, 0.1957)  8 Te 3.17-3.30
Tb (0.9546, 0.7500, 0.8043)  8 Te 3.17-3.30
Tm (0.1559, 0.2500, 0.5809)  6 Te 2.97-3.05
Tm (0.3160, 0.7500, 0.9982)  7 Te 3.01-3.30
Tm (0.4326, 0.2500, 0.3343)  6 Te 3.01-3.08
Tm (0.5674, 0.7500, 0.6657)  6 Te 3.01-3.08
Tm (0.6840, 0.2500, 0.0018)  7 Te 3.01-3.30
Tm (0.8441, 0.7500, 0.4191)  6 Te 2.97-3.05
Te (0.0833, 0.7500, 0.4010)  3 Tm 3.05, 2 Tb 3.30
Te (0.1118, 0.2500, 0.9676)  3 Tb 3.17-3.26, 2 Tm 3.25
Te (0.1930, 0.7500, 0.7504)  3 Tm 2.97-3.01, 1 Tb 3.25
Te (0.2542, 0.7500, 0.2210)  3 Tm 3.08-3.17, 2 Tb 3.30
Te (0.3924, 0.2500, 0.5613)  4 Tm 3.02-3.08
Te (0.4819, 0.2500, 0.1172)  4 Tm 3.01-3.30
Te (0.5181, 0.7500, 0.8828)  4 Tm 3.01-3.30
Te (0.6076, 0.7500, 0.4387)  4 Tm 3.02-3.08
Te (0.7458, 0.2500, 0.7790)  3 Tm 3.08-3.17, 2 Tb 3.30
Te (0.8070, 0.2500, 0.2496)  3 Tm 2.97-3.01, 1 Tb 3.25
Te (0.8882, 0.7500, 0.0324)  3 Tb 3.17-3.26, 2 Tm 3.25
Te (0.9167, 0.2500, 0.5990)  3 Tm 3.05, 2 Tb 3.30

Properties
Calculated density, g/cm³: 7.4

two:
# TbTm3Te6

An optimized crystal structure of TbTm3Te6 (GGA-PBE, Alexandria).

a b c (Å): 8.9577 8.9577 8.9577
angles (deg): 90.53 90.53 90.53
With the nearest neighbours (Å) after each atom.
Positions (direct):
Tb (0.0000, 0.0000, 0.0000)  6 Te 3.03
Tb (0.5000, 0.5000, 0.5000)  6 Te 3.07
Tm (0.0748, 0.5821, 0.7431)  6 Te 3.00-3.16
Tm (0.2569, 0.9252, 0.4179)  6 Te 3.00-3.16
Tm (0.4179, 0.2569, 0.9252)  6 Te 3.00-3.16
Tm (0.5821, 0.7431, 0.0748)  6 Te 3.00-3.16
Tm (0.7431, 0.0748, 0.5821)  6 Te 3.00-3.16
Tm (0.9252, 0.4179, 0.2569)  6 Te 3.00-3.16
Te (0.0374, 0.9073, 0.6762)  3 Tm 3.00-3.16, 1 Tb 3.03
Te (0.0927, 0.3238, 0.9626)  3 Tm 3.00-3.16, 1 Tb 3.03
Te (0.1815, 0.5886, 0.4088)  3 Tm 3.05-3.15, 1 Tb 3.07
Te (0.3238, 0.9626, 0.0927)  3 Tm 3.00-3.16, 1 Tb 3.03
Te (0.4088, 0.1815, 0.5886)  3 Tm 3.05-3.15, 1 Tb 3.07
Te (0.4114, 0.5912, 0.8185)  3 Tm 3.05-3.15, 1 Tb 3.07
Te (0.5886, 0.4088, 0.1815)  3 Tm 3.05-3.15, 1 Tb 3.07
Te (0.5912, 0.8185, 0.4114)  3 Tm 3.05-3.15, 1 Tb 3.07
Te (0.6762, 0.0374, 0.9073)  3 Tm 3.00-3.16, 1 Tb 3.03
Te (0.8185, 0.4114, 0.5912)  3 Tm 3.05-3.15, 1 Tb 3.07
Te (0.9073, 0.6762, 0.0374)  3 Tm 3.00-3.16, 1 Tb 3.03
Te (0.9626, 0.0927, 0.3238)  3 Tm 3.00-3.16, 1 Tb 3.03

Properties
Calculated density, g/cm³: 6.6

It turns out one is the most stable, with the second structure 5.4 kJ/mol of atoms higher.

one:
# Tb2TmTe4

An optimized crystal structure of Tb2TmTe4 (GGA-PBE, Alexandria).

a b c (Å): 7.4778 7.4778 14.9798
angles (deg): 90.00 90.00 147.27
With the nearest neighbours (Å) after each atom.
Positions (direct):
Tb (0.1313, 0.8687, 0.5699)  6 Te 3.01-3.16
Tb (0.1313, 0.8687, 0.9301)  6 Te 3.01-3.16
Tb (0.8687, 0.1313, 0.0699)  6 Te 3.01-3.16
Tb (0.8687, 0.1313, 0.4301)  6 Te 3.01-3.16
Tm (0.3714, 0.6286, 0.7500)  6 Te 3.07-3.12
Tm (0.6286, 0.3714, 0.2500)  6 Te 3.07-3.12
Te (0.0270, 0.9730, 0.7500)  2 Tm 3.07, 2 Tb 3.09
Te (0.2193, 0.7807, 0.1237)  3 Tb 3.11-3.16, 2 Tm 3.12
Te (0.2193, 0.7807, 0.3763)  3 Tb 3.11-3.16, 2 Tm 3.12
Te (0.5000, 0.5000, 0.0000)  4 Tb 3.01
Te (0.5000, 0.5000, 0.5000)  4 Tb 3.01
Te (0.7807, 0.2193, 0.6237)  3 Tb 3.11-3.16, 2 Tm 3.12
Te (0.7807, 0.2193, 0.8763)  3 Tb 3.11-3.16, 2 Tm 3.12
Te (0.9730, 0.0270, 0.2500)  2 Tm 3.07, 2 Tb 3.09

Properties
Calculated density, g/cm³: 7.3

two:
# Tb2TmTe4

An optimized crystal structure of Tb2TmTe4 (GGA-PBE, Alexandria).

a b c (Å): 8.3696 8.3696 7.5806
angles (deg): 116.63 116.63 30.02
With the nearest neighbours (Å) after each atom.
Positions (direct):
Tb (0.2432, 0.2432, 0.2290)  6 Te 3.06-3.16
Tb (0.7568, 0.7568, 0.7710)  6 Te 3.06-3.16
Tm (0.5000, 0.5000, 0.5000)  6 Te 3.02-3.08
Te (0.1263, 0.1263, 0.4644)  2 Tm 3.08, 3 Tb 3.14-3.16
Te (0.3822, 0.3822, 0.0525)  1 Tm 3.02, 3 Tb 3.06-3.10
Te (0.6178, 0.6178, 0.9475)  1 Tm 3.02, 3 Tb 3.06-3.10
Te (0.8737, 0.8737, 0.5356)  2 Tm 3.08, 3 Tb 3.14-3.16

Properties
Calculated density, g/cm³: 7.0

It turns out two is the most stable, with the second structure 4.9 kJ/mol of atoms higher.

one:
# TbTmTe

An optimized crystal structure of TbTmTe (GGA-PBE, Alexandria).

a b c (Å): 8.4253 4.0201 14.7352
angles (deg): 90.00 90.76 90.00
With the nearest neighbours (Å) after each atom.
Positions (direct):
Tb (0.0372, 0.2500, 0.2901)  4 Te 3.26-3.30, 6 Tm 3.46-3.62
Tb (0.3577, 0.7500, 0.9079)  5 Te 3.09-3.18
Tb (0.4560, 0.7500, 0.6127)  5 Te 3.13-3.39, 2 Tm 3.49
Tb (0.5440, 0.2500, 0.3873)  5 Te 3.13-3.39, 2 Tm 3.49
Tb (0.6423, 0.2500, 0.0921)  5 Te 3.09-3.18
Tb (0.9628, 0.7500, 0.7099)  4 Te 3.26-3.30, 6 Tm 3.46-3.62
Tm (0.0042, 0.2500, 0.9044)  4 Te 3.12-3.22, 3 Tm 3.46-3.47
Tm (0.1351, 0.2500, 0.5471)  4 Te 3.06-3.42, 2 Tm 3.33
Tm (0.3612, 0.7500, 0.2072)  4 Te 3.07-3.19
Tm (0.6388, 0.2500, 0.7928)  4 Te 3.07-3.19
Tm (0.8649, 0.7500, 0.4529)  4 Te 3.06-3.42, 2 Tm 3.33
Tm (0.9958, 0.7500, 0.0956)  4 Te 3.12-3.22, 3 Tm 3.46-3.47
Te (0.2625, 0.7500, 0.4092)  4 Tm 3.06-3.42, 5 Tb 3.13-3.39
Te (0.2675, 0.2500, 0.7480)  3 Tm 3.15-3.22, 6 Tb 3.18-3.30
Te (0.2705, 0.2500, 0.0583)  5 Tm 3.07-3.17, 3 Tb 3.09-3.16
Te (0.7295, 0.7500, 0.9417)  5 Tm 3.07-3.17, 3 Tb 3.09-3.16
Te (0.7325, 0.7500, 0.2520)  3 Tm 3.15-3.22, 6 Tb 3.18-3.30
Te (0.7375, 0.2500, 0.5908)  4 Tm 3.06-3.42, 5 Tb 3.13-3.39

Properties
Calculated density, g/cm³: 9.1

two:
# TbTmTe

An optimized crystal structure of TbTmTe (GGA-PBE, Alexandria).

a b c (Å): 4.1035 4.7540 4.8176
angles (deg): 90.00 90.00 90.00
With the nearest neighbours (Å) after each atom.
Positions (direct):
Tb (0.0000, 0.0000, 0.0000)  4 Te 3.16, 4 Tm 3.38
Tm (0.0000, 0.5000, 0.5000)  4 Te 3.14, 4 Tb 3.38
Te (0.5000, 0.0000, 0.5000)  4 Tm 3.14, 4 Tb 3.16

Properties
Calculated density, g/cm³: 8.0

three:
# TbTmTe

An optimized crystal structure of TbTmTe (GGA-PBE, Alexandria).

a b c (Å): 5.1312 5.1312 3.9432
angles (deg): 90.00 90.00 120.00
With the nearest neighbours (Å) after each atom.
Positions (direct):
Tb (0.0000, 0.0000, 0.0000)  3 Te 3.16, 3 Tm 3.54
Tm (0.6667, 0.3333, 0.4931)  3 Te 3.08
Te (0.3333, 0.6667, 0.2820)  3 Tm 3.08, 3 Tb 3.16

Properties
Calculated density, g/cm³: 8.4

four:
# TbTmTe

An optimized crystal structure of TbTmTe (GGA-PBE, Alexandria).

a b c (Å): 8.4590 8.4590 11.0459
angles (deg): 92.78 92.78 27.19
With the nearest neighbours (Å) after each atom.
Positions (direct):
Tb (0.0222, 0.0222, 0.3517)  6 Te 3.05-3.32, 1 Tb 3.39
Tb (0.3831, 0.3831, 0.1648)  2 Te 3.09-3.27, 1 Tm 3.27
Tb (0.6169, 0.6169, 0.8352)  2 Te 3.09-3.27, 1 Tm 3.27
Tb (0.9778, 0.9778, 0.6483)  6 Te 3.05-3.32, 1 Tb 3.39
Tm (0.1904, 0.1904, 0.0776)  2 Te 2.97, 1 Tb 3.27
Tm (0.2517, 0.2517, 0.6688)  4 Te 3.22-3.40, 2 Tm 3.53, 2 Tb 3.56
Tm (0.7483, 0.7483, 0.3312)  4 Te 3.22-3.40, 2 Tm 3.53, 2 Tb 3.56
Tm (0.8096, 0.8096, 0.9224)  2 Te 2.97, 1 Tb 3.27
Te (0.3821, 0.3821, 0.4610)  3 Tm 3.22-3.25, 5 Tb 3.22-3.32
Te (0.4292, 0.4292, 0.8409)  2 Tm 2.97, 3 Tb 3.05-3.09
Te (0.5708, 0.5708, 0.1591)  2 Tm 2.97, 3 Tb 3.05-3.09
Te (0.6179, 0.6179, 0.5390)  3 Tm 3.22-3.25, 5 Tb 3.22-3.32

Properties
Calculated density, g/cm³: 8.4

It turns out one is the most stable, with the second structure 11.2 kJ/mol of atoms higher.

one:
# TbTm2Te

An optimized crystal structure of TbTm2Te (GGA-PBE, Alexandria).

a b c (Å): 9.9733 9.9733 9.9733
angles (deg): 22.16 22.16 22.16
With the nearest neighbours (Å) after each atom.
Positions (direct):
Tb (0.0000, 0.0000, 0.0000)  6 Tm 3.52-3.54, 6 Tb 3.83
Tm (0.2388, 0.2388, 0.2388)  3 Te 3.06
Tm (0.4272, 0.4272, 0.4272)  3 Te 3.07
Te (0.8332, 0.8332, 0.8332)  6 Tm 3.06-3.07

Properties
Calculated density, g/cm³: 8.4

two:
# TbTm2Te

An optimized crystal structure of TbTm2Te (GGA-PBE, Alexandria).

a b c (Å): 6.3227 6.3227 9.7655
angles (deg): 90.00 90.00 144.01
With the nearest neighbours (Å) after each atom.
Positions (direct):
Tb (0.0546, 0.9454, 0.7500)  3 Te 3.20-3.48, 4 Tm 3.54
Tb (0.9454, 0.0546, 0.2500)  3 Te 3.20-3.48, 4 Tm 3.54
Tm (0.3648, 0.6352, 0.5357)  3 Te 3.10-3.20, 3 Tm 3.33-3.45
Tm (0.3648, 0.6352, 0.9643)  3 Te 3.10-3.20, 3 Tm 3.33-3.45
Tm (0.6352, 0.3648, 0.0357)  3 Te 3.10-3.20, 3 Tm 3.33-3.45
Tm (0.6352, 0.3648, 0.4643)  3 Te 3.10-3.20, 3 Tm 3.33-3.45
Te (0.2344, 0.7656, 0.2500)  6 Tm 3.10-3.20, 2 Tb 3.20
Te (0.7656, 0.2344, 0.7500)  6 Tm 3.10-3.20, 2 Tb 3.20

Properties
Calculated density, g/cm³: 9.0

It turns out two is the most stable, with the second structure 12.2 kJ/mol of atoms higher.